Below is AlSnIO2 after structural relaxation, with properties calculated at the PBE-GGA level.

As for the density of states at the Fermi level: 1.91 states/eV/cell. The excess energy over the best structure of this formula in the dataset is 302 meV per atom. The formation energy without anion corrections is -1.892 eV/f.u. Its total magnetization is 0.000 μB per formula unit. The value obtained for the total energy is -21.10 eV for the cell shown.

The structure belongs to space group P4/mmm (No. 123); the cell edges are 4.140, 4.140 and 6.260 Å and the angles 90.00°, 90.00° and 90.00°. The inequivalent atoms are Al at (0.000, 0.000, 0.000), Sn at (0.500, 0.500, 0.500), I at (0.500, 0.500, 0.000) and O at (0.000, 0.500, 0.500).

Below is AlSnIO2 after structural relaxation, with properties calculated at the PBE-GGA level.

As for the density of states at the Fermi level: 1.45 states/eV/cell. The excess energy over the best structure of this formula in the dataset is 0 meV per atom. The formation energy without anion corrections is -3.404 eV/f.u. Its total magnetization is 0.000 μB per formula unit. The value obtained for the total energy is -22.62 eV for the cell shown.

The structure belongs to space group P4/mmm (No. 123); the cell edges are 4.068, 4.068 and 5.335 Å and the angles 90.00°, 90.00° and 90.00°. The inequivalent atoms are Al at (0.000, 0.000, 0.000), Sn at (0.500, 0.500, 0.500), I at (0.000, 0.000, 0.500) and O at (0.000, 0.500, 0.000).

Below is SrAlIO2 after structural relaxation, with properties calculated at the PBE-GGA level.

As for the density of states at the Fermi level: 0.51 states/eV/cell. The excess energy over the best structure of this formula in the dataset is 0 meV per atom. The formation energy without anion corrections is -6.996 eV/f.u. Its total magnetization is 0.000 μB per formula unit. The value obtained for the total energy is -23.89 eV for the cell shown.

The structure belongs to space group P4/mmm (No. 123); the cell edges are 4.157, 4.157 and 5.270 Å and the angles 90.00°, 90.00° and 90.00°. The inequivalent atoms are Sr at (0.000, 0.000, 0.000), Al at (0.500, 0.500, 0.500), I at (0.500, 0.500, 0.000) and O at (0.000, 0.500, 0.500).